## NbAlNi2O (GGA+U)

Data for a relaxed structure of NbAlNi2O.

Cell lengths 4.6876, 4.6876, 3.8432 Å; angles 90.00, 90.00, 90.00 degrees
Positions (direct):
Ni 0.0000 0.5000 0.0000
Ni 0.5000 0.0000 0.0000
Nb 0.0000 0.0000 0.0000
Al 0.5000 0.5000 0.5000
O 0.0000 0.0000 0.5000

- Electronic total energy: -4.1374 eV/atom
- Space group: P4/mmm